1.
This record from the Alexandria database describes a relaxed structure of MgAg2Ru. The functional is PBE-GGA.

Unit cell a=2.870 b=2.870 c=8.225 alpha=90.00 beta=90.00 gamma=89.87
Site moments in Bohr magnetons follow the coordinates.
Atoms (fractional coordinates):
Mg: 0.000 0.000 0.513  -0.01
Ru: 0.500 0.500 0.743  1.33
Ag: 0.500 0.500 0.253  0.00
Ag: 0.000 0.000 0.991  0.02

## Properties
Energy relative to the elements ... 0.175 eV/atom



2.
This record from the Alexandria database describes a relaxed structure of AcPmGdSc. The functional is PBE-GGA.

Unit cell a=5.761 b=5.761 c=5.761 alpha=60.00 beta=60.00 gamma=60.00
Site moments in Bohr magnetons follow the coordinates.
Atoms (fractional coordinates):
Sc: 0.000 0.000 0.000  0.07
Ac: 0.250 0.250 0.250  0.02
Gd: 0.750 0.750 0.750  7.26
Pm: 0.500 0.500 0.500  0.12

## Properties
Energy relative to the elements ... 0.137 eV/atom



3.
This record from the Alexandria database describes a relaxed structure of EuGdInIr. The functional is PBE-GGA.

Unit cell a=5.160 b=5.160 c=5.160 alpha=60.00 beta=60.00 gamma=60.00
Site moments in Bohr magnetons follow the coordinates.
Atoms (fractional coordinates):
Gd: 0.250 0.250 0.250  6.99
In: 0.500 0.500 0.500  -0.01
Ir: 0.000 0.000 0.000  0.02
Eu: 0.750 0.750 0.750  -6.73

## Properties
Energy relative to the elements ... -0.388 eV/atom



4.
This record from the Alexandria database describes a relaxed structure of TiMn2H2. The functional is PBE-GGA.

Unit cell a=3.091 b=3.091 c=5.114 alpha=72.41 beta=72.41 gamma=90.00
Site moments in Bohr magnetons follow the coordinates.
Atoms (fractional coordinates):
Mn: 0.655 0.655 0.689  1.99
Mn: 0.345 0.345 0.311  1.99
H: 0.250 0.750 0.500  -0.02
H: 0.750 0.250 0.500  -0.02
Ti: 0.000 0.000 0.000  -0.73

## Properties
Energy above the lowest structure with this stoichiometry ... 0.0 meV per atom



5.
This record from the Alexandria database describes a relaxed structure of Li3CuCl. The functional is PBE-GGA.

Unit cell a=4.556 b=4.556 c=4.556 alpha=90.00 beta=90.00 gamma=90.00
Atoms (fractional coordinates):
Cl: 0.000 0.000 0.000
Li: 0.500 0.000 0.000
Li: 0.000 0.500 0.000
Li: 0.000 0.000 0.500
Cu: 0.500 0.500 0.500

## Properties
Energy above the lowest structure with this stoichiometry ... 0.0 meV per atom
Raw formation energy ... -38.80 kJ/mol of atoms



6.
This record from the Alexandria database describes a relaxed structure of SrZr2P2. The functional is PBE-GGA.

Unit cell a=4.922 b=4.922 c=6.093 alpha=66.18 beta=66.18 gamma=90.00
Atoms (fractional coordinates):
Sr: 0.000 0.000 0.000
P: 0.750 0.250 0.500
P: 0.250 0.750 0.500
Zr: 0.340 0.340 0.320
Zr: 0.660 0.660 0.680

## Properties
Energy above the lowest structure with this stoichiometry ... 112.6 meV per atom
Energy relative to the elements ... -0.695 eV/atom



7.
This record from the Alexandria database describes a relaxed structure of RbInGe. The functional is PBE-GGA.

Unit cell a=15.102 b=4.844 c=4.844 alpha=112.94 beta=122.29 gamma=57.71
Atoms (fractional coordinates):
In: 0.933 0.896 0.104
In: 0.067 0.104 0.896
Rb: 0.306 0.514 0.486
Rb: 0.694 0.486 0.514
Ge: 0.107 0.426 0.574
Ge: 0.893 0.574 0.426

## Properties
Energy relative to the elements ... -0.005 eV/atom



8.
This record from the Alexandria database describes a relaxed structure of TaMnTl2I. The functional is PBE-GGA.

Unit cell a=6.169 b=5.147 c=6.169 alpha=90.00 beta=90.00 gamma=90.00
Site moments in Bohr magnetons follow the coordinates.
Atoms (fractional coordinates):
Mn: 0.500 0.500 0.500  4.49
Ta: 0.000 0.500 0.000  0.63
I: 0.000 0.000 0.000  -0.01
Tl: 0.500 0.000 0.000  -0.02
Tl: 0.000 0.000 0.500  -0.02

## Properties
Raw formation energy ... 160.24 kJ/mol of atoms



Number 1: D(E_F) 0.56 states/eV per atom, M_tot 1.363 μB/f.u.. Number 2: D(E_F) 1.82 states/eV per atom, M_tot 7.997 μB/f.u.. Number 3: D(E_F) 1.41 states/eV per atom, M_tot 0.185 μB/f.u.. Number 4: D(E_F) 0.74 states/eV per atom, M_tot 3.078 μB/f.u.. Number 5: D(E_F) 0.62 states/eV per atom, M_tot 0.000 μB/f.u.. Number 6: D(E_F) 0.81 states/eV per atom, M_tot 0.000 μB/f.u.. Number 7: D(E_F) 0.75 states/eV per atom, M_tot 0.000 μB/f.u.. Number 8: D(E_F) 1.12 states/eV per atom, M_tot 5.761 μB/f.u..